# 1
The following is a PBE-GGA calculation of a relaxed NpPtBr crystal, from the Alexandria database.

Values from the calculation:
The uncorrected formation energy is -0.7044 eV/atom. Its crystal system is monoclinic. The value obtained for the volume is 186.48 Å³/cell.

abc: 4.5189 4.5189 10.8249
angles: 95.86 95.86 120.45
With the nearest neighbours (Å) after each atom.
Element x y z (fractional)
Np 0.0773 0.0773 0.1558  2 Br 2.96, 6 Pt 3.08-3.09, 1 Np 3.30
Np 0.9227 0.9227 0.8442  2 Br 2.96, 6 Pt 3.08-3.09, 1 Np 3.30
Pt 0.3326 0.6674 0.0000  3 Pt 2.59-2.63
Pt 0.6674 0.3326 0.0000  3 Pt 2.59-2.63
Br 0.3321 0.3321 0.6615  2 Np 2.96
Br 0.6679 0.6679 0.3385  2 Np 2.96

---

# 2
The following is a PBE-GGA calculation of a relaxed Pu2NpBr8 crystal, from the Alexandria database.

Values from the calculation:
The uncorrected formation energy is -1.4475 eV/atom. Its crystal system is monoclinic. The value obtained for the volume is 410.35 Å³/cell.

abc: 12.6061 12.6061 8.1194
angles: 100.09 100.09 18.85
With the nearest neighbours (Å) after each atom.
Element x y z (fractional)
Pu 0.1684 0.1684 0.3602  7 Br 2.90-3.17
Pu 0.8316 0.8316 0.6398  7 Br 2.90-3.17
Np 0.5000 0.5000 0.0000  6 Br 2.87-2.94
Br 0.0007 0.0007 0.7545  2 Np 2.87
Br 0.2474 0.2474 0.6926  3 Pu 3.03-3.04
Br 0.3801 0.3801 0.9228  1 Np 2.94, 2 Pu 3.17
Br 0.3808 0.3808 0.4634  2 Pu 2.90
Br 0.6192 0.6192 0.5366  2 Pu 2.90
Br 0.6199 0.6199 0.0772  1 Np 2.94, 2 Pu 3.17
Br 0.7526 0.7526 0.3074  3 Pu 3.03-3.04
Br 0.9993 0.9993 0.2455  2 Np 2.87

---

# 3
The following is a PBE-GGA calculation of a relaxed PuNpBr5 crystal, from the Alexandria database.

Values from the calculation:
The uncorrected formation energy is -1.3783 eV/atom. Its crystal system is monoclinic. The value obtained for the volume is 481.88 Å³/cell.

abc: 8.4359 4.1299 13.8582
angles: 90.00 93.56 90.00
With the nearest neighbours (Å) after each atom.
Element x y z (fractional)
Pu 0.0907 0.2500 0.1422  7 Br 3.01-3.07
Pu 0.9093 0.7500 0.8578  7 Br 3.01-3.07
Np 0.4329 0.7500 0.3493  7 Br 2.88-3.06
Np 0.5671 0.2500 0.6507  7 Br 2.88-3.06
Br 0.0743 0.7500 0.3057  1 Np 3.05, 2 Pu 3.07
Br 0.1479 0.2500 0.9293  3 Pu 3.01-3.02
Br 0.3148 0.2500 0.4819  3 Np 2.98-3.06
Br 0.3520 0.7500 0.1313  2 Pu 3.03, 1 Np 3.06
Br 0.3575 0.7500 0.7127  2 Np 2.88
Br 0.6425 0.2500 0.2873  2 Np 2.88
Br 0.6480 0.2500 0.8687  2 Pu 3.03, 1 Np 3.06
Br 0.6852 0.7500 0.5181  3 Np 2.98-3.06
Br 0.8521 0.7500 0.0707  3 Pu 3.01-3.02
Br 0.9257 0.2500 0.6943  1 Np 3.05, 2 Pu 3.07

---

# 4
The following is a PBE-GGA calculation of a relaxed PuNpBr6 crystal, from the Alexandria database.

Values from the calculation:
The uncorrected formation energy is -1.4099 eV/atom. Its crystal system is monoclinic. The value obtained for the volume is 317.73 Å³/cell.

abc: 7.3896 7.3896 7.1562
angles: 97.91 97.91 122.01
With the nearest neighbours (Å) after each atom.
Element x y z (fractional)
Pu 0.0000 0.0000 0.0000  6 Br 2.89-2.91
Np 0.5000 0.5000 0.5000  6 Br 2.84-2.87
Br 0.1058 0.4050 0.2511  1 Np 2.87, 1 Pu 2.91
Br 0.2484 0.2484 0.7441  1 Np 2.84, 1 Pu 2.89
Br 0.4050 0.1058 0.2511  1 Np 2.87, 1 Pu 2.91
Br 0.5950 0.8942 0.7489  1 Np 2.87, 1 Pu 2.91
Br 0.7516 0.7516 0.2559  1 Np 2.84, 1 Pu 2.89
Br 0.8942 0.5950 0.7489  1 Np 2.87, 1 Pu 2.91

---

# 5
The following is a PBE-GGA calculation of a relaxed RbPuNpBr6 crystal, from the Alexandria database.

Values from the calculation:
The uncorrected formation energy is -1.4993 eV/atom. Its crystal system is trigonal. The value obtained for the volume is 756.26 Å³/cell.

abc: 7.6153 7.6153 15.0581
angles: 90.00 90.00 120.00
With the nearest neighbours (Å) after each atom.
Element x y z (fractional)
Rb 0.0000 0.0000 0.0000  6 Br 3.52
Rb 0.0000 0.0000 0.5000  6 Br 3.52
Pu 0.3333 0.6667 0.2500  6 Br 2.95
Pu 0.6667 0.3333 0.7500  6 Br 2.95
Np 0.3333 0.6667 0.7500  6 Br 2.93
Np 0.6667 0.3333 0.2500  6 Br 2.93
Br 0.0028 0.3747 0.6374  1 Np 2.93, 1 Pu 2.95
Br 0.0028 0.6281 0.8626  1 Np 2.93, 1 Pu 2.95
Br 0.3719 0.3747 0.8626  1 Np 2.93, 1 Pu 2.95
Br 0.3719 0.9972 0.6374  1 Np 2.93, 1 Pu 2.95
Br 0.3747 0.0028 0.1374  1 Np 2.93, 1 Pu 2.95
Br 0.3747 0.3719 0.3626  1 Np 2.93, 1 Pu 2.95
Br 0.6253 0.6281 0.6374  1 Np 2.93, 1 Pu 2.95
Br 0.6253 0.9972 0.8626  1 Np 2.93, 1 Pu 2.95
Br 0.6281 0.0028 0.3626  1 Np 2.93, 1 Pu 2.95
Br 0.6281 0.6253 0.1374  1 Np 2.93, 1 Pu 2.95
Br 0.9972 0.3719 0.1374  1 Np 2.93, 1 Pu 2.95
Br 0.9972 0.6253 0.3626  1 Np 2.93, 1 Pu 2.95

---

# 6
The following is a PBE-GGA calculation of a relaxed PuNpTl2Br8 crystal, from the Alexandria database.

Values from the calculation:
The uncorrected formation energy is -1.2246 eV/atom. Its crystal system is triclinic. The value obtained for the volume is 483.60 Å³/cell.

abc: 7.1375 7.6365 8.8788
angles: 90.05 90.33 92.13
With the nearest neighbours (Å) after each atom.
Element x y z (fractional)
Pu 0.0000 0.0000 0.0000  6 Br 2.85-2.96
Np 0.0000 0.0000 0.5000  6 Br 2.81-2.91
Tl 0.4994 0.4997 0.7509  6 Br 3.24-3.51
Tl 0.5006 0.5003 0.2491  6 Br 3.24-3.51
Br 0.2121 0.3167 0.4985  1 Np 2.81
Br 0.2238 0.3171 0.9991  1 Pu 2.85
Br 0.2262 0.8720 0.2548  1 Np 2.91, 1 Pu 2.96
Br 0.2274 0.8737 0.7470  1 Np 2.91, 1 Pu 2.96
Br 0.7726 0.1263 0.2530  1 Np 2.91, 1 Pu 2.96
Br 0.7738 0.1280 0.7452  1 Np 2.91, 1 Pu 2.96
Br 0.7762 0.6829 0.0009  1 Pu 2.85
Br 0.7879 0.6833 0.5015  1 Np 2.81